UCoIrO6 | GGA+U | optimized geometry

Computed properties:
DOS at the Fermi energy ... 0.6528 states/eV/atom
Volume ... 11.80 Å³/atom
Energy ... -7.86 eV/atom
SG ... No. 163

Unit cell a=5.2348 b=5.2348 c=8.9513 alpha=90.00 beta=90.00 gamma=120.00
Last column: magnetic moment on the atom in μB.
Fractional positions:
O 0.6787 0.6792 0.1249  -0.01
O 0.6792 0.6787 0.6249  -0.01
O 0.9995 0.3208 0.6249  -0.01
O 0.6792 0.0005 0.8751  -0.01
O 0.0005 0.6792 0.3751  -0.01
O 0.9995 0.6787 0.8751  -0.01
O 0.3213 0.0005 0.6249  -0.01
O 0.0005 0.3213 0.1249  -0.01
O 0.3213 0.3208 0.8751  -0.01
O 0.3208 0.9995 0.1249  -0.01
O 0.3208 0.3213 0.3751  -0.01
O 0.6787 0.9995 0.3751  -0.01
U 0.3333 0.6667 0.7500  -0.03
U 0.6667 0.3333 0.2500  -0.03
Ir 0.0000 0.0000 0.5000  -0.48
Ir 0.0000 0.0000 0.0000  -0.48
Co 0.6667 0.3333 0.7500  2.59
Co 0.3333 0.6667 0.2500  2.59